This record from the Open Quantum Materials Database describes an optimized crystal structure of YGaSiPd2. The functional is GGA-PBE.

Calculated values
Density, g/cm³: 7.367
SG: P4/nmm
Total energy, eV per formula unit: -29.7

a b c (Å): 4.1672 4.1672 10.3716
angles (deg): 90.00 90.00 90.00
Atoms (fractional coordinates):
1 Ga 0.0000 0.0000 0.5000
2 Ga 0.5000 0.5000 0.5000
3 Pd 0.0000 0.0000 0.0000
4 Pd 0.5000 0.5000 0.0000
5 Pd 0.5000 0.0000 0.3554
6 Pd 0.0000 0.5000 0.6446
7 Si 0.5000 0.0000 0.1286
8 Si 0.0000 0.5000 0.8714
9 Y 0.0000 0.5000 0.2465
10 Y 0.5000 0.0000 0.7535

This record from the Open Quantum Materials Database describes an optimized crystal structure of Sm2Ga5Pd3. The functional is GGA-PBE.

Calculated values
Density, g/cm³: 8.454
SG: Ibam
Total energy, eV per formula unit: -48.0

a b c (Å): 8.6996 8.6996 8.6996
angles (deg): 107.54 85.41 141.14
Atoms (fractional coordinates):
1 Ga 0.4027 0.6671 0.0698
2 Ga 0.4594 0.2500 0.2094
3 Ga 0.9594 0.7500 0.2094
4 Ga 0.0973 0.1671 0.2644
5 Ga 0.7500 0.2500 0.5000
6 Ga 0.2500 0.7500 0.5000
7 Ga 0.9027 0.8329 0.7356
8 Ga 0.0406 0.2500 0.7906
9 Ga 0.5406 0.7500 0.7906
10 Ga 0.5973 0.3329 0.9302
11 Pd 0.2500 0.2500 0.0000
12 Pd 0.7500 0.7500 0.0000
13 Pd 0.3560 0.9038 0.2598
14 Pd 0.8560 0.5962 0.4522
15 Pd 0.1440 0.4038 0.5478
16 Pd 0.6440 0.0962 0.7402
17 Sm 0.8620 0.2741 0.1361
18 Sm 0.6380 0.7741 0.4121
19 Sm 0.3620 0.2259 0.5879
20 Sm 0.1380 0.7259 0.8639

This record from the Open Quantum Materials Database describes an optimized crystal structure of SmGa4Pd6. The functional is GGA-PBE.

Calculated values
Density, g/cm³: 9.583
SG: P-6m2
Total energy, eV per formula unit: -56.4

a b c (Å): 7.3693 7.3693 3.9339
angles (deg): 90.00 90.00 120.00
Atoms (fractional coordinates):
1 Ga 0.3333 0.6667 0.0000
2 Ga 0.3984 0.1992 0.5000
3 Ga 0.8008 0.1992 0.5000
4 Ga 0.8008 0.6016 0.5000
5 Pd 0.5337 0.0674 0.0000
6 Pd 0.5337 0.4663 0.0000
7 Pd 0.9326 0.4663 0.0000
8 Pd 0.1984 0.3967 0.5000
9 Pd 0.1984 0.8016 0.5000
10 Pd 0.6033 0.8016 0.5000
11 Sm 0.0000 0.0000 0.0000

This record from the Open Quantum Materials Database describes an optimized crystal structure of SmGaPd. The functional is GGA-PBE.

Calculated values
Density, g/cm³: 7.035
SG: F-43m
Total energy, eV per formula unit: -13.3

a b c (Å): 4.7767 4.7767 4.7767
angles (deg): 60.00 60.00 60.00
Atoms (fractional coordinates):
1 Ga 0.2500 0.2500 0.2500
2 Pd 0.7500 0.7500 0.7500
3 Sm 0.0000 0.0000 0.0000

This record from the Open Quantum Materials Database describes an optimized crystal structure of Sm3Ga9Pd2. The functional is GGA-PBE.

Calculated values
Density, g/cm³: 8.027
SG: Immm
Total energy, eV per formula unit: -61.2

a b c (Å): 8.2930 8.2930 8.2930
angles (deg): 150.10 106.47 81.35
Atoms (fractional coordinates):
1 Ga 0.6452 0.3688 0.2764
2 Ga 0.9076 0.6312 0.2764
3 Ga 0.5373 0.1658 0.3715
4 Ga 0.2056 0.8342 0.3715
5 Ga 0.0000 0.5000 0.5000
6 Ga 0.7944 0.1658 0.6285
7 Ga 0.4627 0.8342 0.6285
8 Ga 0.0924 0.3688 0.7236
9 Ga 0.3548 0.6312 0.7236
10 Pd 0.2200 0.0000 0.2200
11 Pd 0.7800 0.0000 0.7800
12 Sm 0.1822 0.1822 0.0000
13 Sm 0.5000 0.5000 0.0000
14 Sm 0.8178 0.8178 0.0000

This record from the Open Quantum Materials Database describes an optimized crystal structure of Sm2GaPd. The functional is GGA-PBE.

Calculated values
Density, g/cm³: 8.047
SG: Amm2
Total energy, eV per formula unit: -20.4

a b c (Å): 4.5369 5.9064 5.9064
angles (deg): 38.44 90.00 90.00
Atoms (fractional coordinates):
1 Ga 0.5000 0.5760 0.5760
2 Pd 0.0000 0.4252 0.4252
3 Sm 0.0000 0.1400 0.1400
4 Sm 0.5000 0.8588 0.8588

This record from the Open Quantum Materials Database describes an optimized crystal structure of Sm2Ga12Pd. The functional is GGA-PBE.

Calculated values
Density, g/cm³: 7.168
SG: P4/nbm
Total energy, eV per formula unit: -57.2

a b c (Å): 6.0956 6.0956 15.5106
angles (deg): 90.00 90.00 90.00
Atoms (fractional coordinates):
1 Ga 0.2502 0.2498 0.0897
2 Ga 0.7502 0.2502 0.0897
3 Ga 0.2498 0.7498 0.0897
4 Ga 0.7498 0.7502 0.0897
5 Ga 0.0000 0.0000 0.1862
6 Ga 0.5000 0.5000 0.1862
7 Ga 0.0000 0.0000 0.3431
8 Ga 0.5000 0.5000 0.3431
9 Ga 0.6723 0.1723 0.4292
10 Ga 0.1723 0.3277 0.4292
11 Ga 0.8277 0.6723 0.4292
12 Ga 0.3277 0.8277 0.4292
13 Ga 0.3277 0.1723 0.5708
14 Ga 0.8277 0.3277 0.5708
15 Ga 0.1723 0.6723 0.5708
16 Ga 0.6723 0.8277 0.5708
17 Ga 0.0000 0.0000 0.6569
18 Ga 0.5000 0.5000 0.6569
19 Ga 0.0000 0.0000 0.8138
20 Ga 0.5000 0.5000 0.8138
21 Ga 0.7498 0.2498 0.9103
22 Ga 0.2498 0.2502 0.9103
23 Ga 0.7502 0.7498 0.9103
24 Ga 0.2502 0.7502 0.9103
25 Pd 0.5000 0.0000 0.0000
26 Pd 0.0000 0.5000 0.0000
27 Sm 0.5000 0.0000 0.2469
28 Sm 0.0000 0.5000 0.2469
29 Sm 0.5000 0.0000 0.7531
30 Sm 0.0000 0.5000 0.7531

This record from the Open Quantum Materials Database describes an optimized crystal structure of SmGaPd. The functional is GGA-PBE.

Calculated values
Density, g/cm³: 8.704
SG: Pnma
Total energy, eV per formula unit: -15.5

a b c (Å): 7.1168 4.5446 7.7038
angles (deg): 90.00 90.00 90.00
Atoms (fractional coordinates):
1 Ga 0.1800 0.7500 0.0791
2 Ga 0.6800 0.7500 0.4209
3 Ga 0.3200 0.2500 0.5791
4 Ga 0.8200 0.2500 0.9209
5 Pd 0.7884 0.7500 0.0911
6 Pd 0.2884 0.7500 0.4089
7 Pd 0.7116 0.2500 0.5911
8 Pd 0.2116 0.2500 0.9089
9 Sm 0.4816 0.2500 0.2001
10 Sm 0.9816 0.2500 0.2999
11 Sm 0.0184 0.7500 0.7001
12 Sm 0.5184 0.7500 0.7999

This record from the Open Quantum Materials Database describes an optimized crystal structure of SmGa2Pd. The functional is GGA-PBE.

Calculated values
Density, g/cm³: 8.018
SG: Cmmm
Total energy, eV per formula unit: -18.9

a b c (Å): 9.4302 9.4302 4.1981
angles (deg): 90.00 90.00 153.92
Atoms (fractional coordinates):
1 Ga 0.7854 0.2146 0.0000
2 Ga 0.5000 0.5000 0.0000
3 Ga 0.2146 0.7854 0.0000
4 Ga 0.0000 0.0000 0.5000
5 Pd 0.9204 0.0796 0.0000
6 Pd 0.0796 0.9204 0.0000
7 Sm 0.6442 0.3558 0.5000
8 Sm 0.3558 0.6442 0.5000

This record from the Open Quantum Materials Database describes an optimized crystal structure of SmTmGa2Pd4. The functional is GGA-PBE.

Calculated values
Density, g/cm³: 9.591
SG: P-6m2
Total energy, eV per formula unit: -43.0

a b c (Å): 4.4079 4.4079 9.1004
angles (deg): 90.00 90.00 120.00
Atoms (fractional coordinates):
1 Ga 0.6667 0.3333 0.2563
2 Ga 0.6667 0.3333 0.7437
3 Pd 0.0000 0.0000 0.1804
4 Pd 0.3333 0.6667 0.3376
5 Pd 0.3333 0.6667 0.6624
6 Pd 0.0000 0.0000 0.8196
7 Sm 0.3333 0.6667 0.0000
8 Tm 0.0000 0.0000 0.5000

This record from the Open Quantum Materials Database describes an optimized crystal structure of SmZn2GaPd2. The functional is GGA-PBE.

Calculated values
Density, g/cm³: 8.725
SG: Cmmm
Total energy, eV per formula unit: -24.7

a b c (Å): 5.3398 5.3398 4.3429
angles (deg): 90.00 90.00 119.95
Atoms (fractional coordinates):
1 Ga 0.5000 0.5000 0.0000
2 Pd 0.6666 0.3334 0.5000
3 Pd 0.3334 0.6666 0.5000
4 Sm 0.0000 0.0000 0.5000
5 Zn 0.5000 0.0000 0.0000
6 Zn 0.0000 0.5000 0.0000

This record from the Open Quantum Materials Database describes an optimized crystal structure of GaSnPd2. The functional is GGA-PBE.

Calculated values
Density, g/cm³: 9.761
SG: I4/mmm
Total energy, eV per formula unit: -19.2

a b c (Å): 4.5917 4.5917 4.5917
angles (deg): 120.18 120.18 89.68
Atoms (fractional coordinates):
1 Ga 0.0000 0.0000 0.0000
2 Pd 0.7500 0.2500 0.5000
3 Pd 0.2500 0.7500 0.5000
4 Sn 0.5000 0.5000 0.0000

This record from the Open Quantum Materials Database describes an optimized crystal structure of GaSnPd2. The functional is GGA-PBE.

Calculated values
Density, g/cm³: 9.010
SG: P6_3/mmc
Total energy, eV per formula unit: -19.2

a b c (Å): 3.4472 3.4472 14.3720
angles (deg): 90.00 90.00 120.00
Atoms (fractional coordinates):
1 Ga 0.6667 0.3333 0.2500
2 Ga 0.3333 0.6667 0.7500
3 Pd 0.3333 0.6667 0.1396
4 Pd 0.3333 0.6667 0.3604
5 Pd 0.6667 0.3333 0.6396
6 Pd 0.6667 0.3333 0.8604
7 Sn 0.0000 0.0000 0.0000
8 Sn 0.0000 0.0000 0.5000

This record from the Open Quantum Materials Database describes an optimized crystal structure of GaSnPd2. The functional is GGA-PBE.

Calculated values
Density, g/cm³: 9.761
SG: I4/mmm
Total energy, eV per formula unit: -19.2

a b c (Å): 4.5855 4.5855 4.5855
angles (deg): 119.95 119.89 90.14
Atoms (fractional coordinates):
1 Ga 0.5000 0.5000 0.0000
2 Pd 0.7500 0.2500 0.5000
3 Pd 0.2500 0.7500 0.5000
4 Sn 0.0000 0.0000 0.0000

This record from the Open Quantum Materials Database describes an optimized crystal structure of SrGaSnPd2. The functional is GGA-PBE.

Calculated values
Density, g/cm³: 7.266
SG: P4/nmm
Total energy, eV per formula unit: -22.6

a b c (Å): 4.6046 4.6046 10.5399
angles (deg): 90.00 90.00 90.00
Atoms (fractional coordinates):
1 Ga 0.0000 0.0000 0.5000
2 Ga 0.5000 0.5000 0.5000
3 Pd 0.0000 0.0000 0.0000
4 Pd 0.5000 0.5000 0.0000
5 Pd 0.5000 0.0000 0.3891
6 Pd 0.0000 0.5000 0.6109
7 Sn 0.5000 0.0000 0.1330
8 Sn 0.0000 0.5000 0.8670
9 Sr 0.0000 0.5000 0.2540
10 Sr 0.5000 0.0000 0.7460

This record from the Open Quantum Materials Database describes an optimized crystal structure of Tb2GaSnPd4. The functional is GGA-PBE.

Calculated values
Density, g/cm³: 9.681
SG: P-3m1
Total energy, eV per formula unit: -44.0

a b c (Å): 4.5198 4.5198 9.0360
angles (deg): 90.00 90.00 120.00
Atoms (fractional coordinates):
1 Ga 0.0000 0.0000 0.5000
2 Pd 0.6667 0.3333 0.0891
3 Pd 0.6667 0.3333 0.4216
4 Pd 0.3333 0.6667 0.5784
5 Pd 0.3333 0.6667 0.9109
6 Sn 0.0000 0.0000 0.0000
7 Tb 0.3333 0.6667 0.2547
8 Tb 0.6667 0.3333 0.7453

This record from the Open Quantum Materials Database describes an optimized crystal structure of Zn2GaSnPd4. The functional is GGA-PBE.

Calculated values
Density, g/cm³: 9.905
SG: P4/mmm
Total energy, eV per formula unit: -34.5

a b c (Å): 4.4339 4.4339 6.3521
angles (deg): 90.00 90.00 90.00
Atoms (fractional coordinates):
1 Ga 0.0000 0.0000 0.5000
2 Pd 0.5000 0.0000 0.2616
3 Pd 0.0000 0.5000 0.2616
4 Pd 0.5000 0.0000 0.7384
5 Pd 0.0000 0.5000 0.7384
6 Sn 0.5000 0.5000 0.0000
7 Zn 0.0000 0.0000 0.0000
8 Zn 0.5000 0.5000 0.5000

This record from the Open Quantum Materials Database describes an optimized crystal structure of SrGa4Pd6. The functional is GGA-PBE.

Calculated values
Density, g/cm³: 8.803
SG: P-6m2
Total energy, eV per formula unit: -52.9

a b c (Å): 7.4099 7.4099 3.9870
angles (deg): 90.00 90.00 120.00
Atoms (fractional coordinates):
1 Ga 0.6667 0.3333 0.0000
2 Ga 0.2016 0.4031 0.5000
3 Ga 0.2016 0.7984 0.5000
4 Ga 0.5968 0.7984 0.5000
5 Pd 0.0666 0.5333 0.0000
6 Pd 0.4667 0.5333 0.0000
7 Pd 0.4667 0.9334 0.0000
8 Pd 0.4027 0.2013 0.5000
9 Pd 0.7987 0.2013 0.5000
10 Pd 0.7987 0.5973 0.5000
11 Sr 0.0000 0.0000 0.0000

This record from the Open Quantum Materials Database describes an optimized crystal structure of SrGa2Pd2. The functional is GGA-PBE.

Calculated values
Density, g/cm³: 7.178
SG: I4/mmm
Total energy, eV per formula unit: -21.6

a b c (Å): 6.2382 6.2382 6.2382
angles (deg): 139.42 139.42 58.73
Atoms (fractional coordinates):
1 Ga 0.3729 0.3729 0.0000
2 Ga 0.6271 0.6271 0.0000
3 Pd 0.7500 0.2500 0.5000
4 Pd 0.2500 0.7500 0.5000
5 Sr 0.0000 0.0000 0.0000

This record from the Open Quantum Materials Database describes an optimized crystal structure of SrGa2Pd2. The functional is GGA-PBE.

Calculated values
Density, g/cm³: 7.057
SG: I4/mmm
Total energy, eV per formula unit: -21.4

a b c (Å): 4.3212 4.3212 6.3296
angles (deg): 109.96 109.96 90.00
Atoms (fractional coordinates):
1 Ga 0.7500 0.2500 0.5000
2 Ga 0.2500 0.7500 0.5000
3 Pd 0.6260 0.6260 0.2521
4 Pd 0.3740 0.3740 0.7479
5 Sr 0.0000 0.0000 0.0000